## PuFeAgF6 (PBE+U)

Data for an optimized crystal structure of PuFeAgF6.

## Properties
E = -6.346 eV per atom

Cell and atoms, written as CIF:
```
data_PuFeAgF6
_chemical_formula_sum 'Pu2 Fe2 Ag2 F12'
_cell_length_a 6.0484
_cell_length_b 6.0484
_cell_length_c 9.3327
_cell_angle_alpha 90.00
_cell_angle_beta 90.00
_cell_angle_gamma 120.00
_symmetry_space_group_name_H-M 'P -3 1 c'
_symmetry_Int_Tables_number 163
_symmetry_space_group_name_Hall '-P 3 2c'
loop_
_atom_site_label
_atom_site_fract_x
_atom_site_fract_y
_atom_site_fract_z
_atom_site_occupancy
Pu1 0.3333 0.6667 0.2500 1
Fe1 0.3333 0.6667 0.7500 1
Ag1 0.0000 0.0000 0.0000 1
F1 0.0242 0.3731 0.6364 1
```